Record 1
This record from Alexandria describes a relaxed structure of LuZrTlGa. The functional is PBE-GGA.

Lattice parameters (Å, degrees): 5.0285 5.0285 5.0285 60.00 60.00 60.00
Sites, in units of the cell vectors:
Ga  0.7500  0.7500  0.7500
Zr  0.0000  0.0000  0.0000
Tl  0.2500  0.2500  0.2500
Lu  0.5000  0.5000  0.5000

Computed properties:
Its formation energy is -208 meV/atom. For the size of the total moment, the calculation gives 0.0 Bohr magnetons per cell. Its calculated volume is 90 Å³/f.u. Its space-group type is F-43m (216). The crystal system is cubic. Its uncorrected energy is -4.823 eV per atom.

Record 2
This record from Alexandria describes a relaxed structure of Tm2LuGa. The functional is PBE-GGA.

Lattice parameters (Å, degrees): 4.6349 4.6490 4.6490 90.00 90.00 90.00
Sites, in units of the cell vectors:
Tm  0.0000  0.5000  0.0000
Tm  0.0000  0.0000  0.5000
Lu  0.5000  0.5000  0.5000
Ga  0.5000  0.0000  0.0000

Computed properties:
Its formation energy is -241 meV/atom. For the size of the total moment, the calculation gives 0.0 Bohr magnetons per cell. Its calculated volume is 100 Å³/f.u. Its space-group type is P4/mmm (123). The crystal system is tetragonal. Its uncorrected energy is -4.364 eV per atom.

Record 3
This record from Alexandria describes a relaxed structure of TmLu2Ga. The functional is PBE-GGA.

Lattice parameters (Å, degrees): 4.6392 4.6293 4.6293 90.00 90.00 90.00
Sites, in units of the cell vectors:
Lu  0.0000  0.0000  0.5000
Lu  0.0000  0.5000  0.0000
Ga  0.5000  0.0000  0.0000
Tm  0.5000  0.5000  0.5000

Computed properties:
Its formation energy is -240 meV/atom. For the size of the total moment, the calculation gives 0.0 Bohr magnetons per cell. Its calculated volume is 99 Å³/f.u. Its space-group type is P4/mmm (123). The crystal system is tetragonal. Its uncorrected energy is -4.375 eV per atom.

Record 4
This record from Alexandria describes a relaxed structure of Tm2LuGa. The functional is PBE-GGA.

Lattice parameters (Å, degrees): 3.4580 3.4580 8.7662 90.00 90.00 90.00
Sites, in units of the cell vectors:
Lu  0.5000  0.5000  0.5000
Ga  0.5000  0.5000  0.0000
Tm  0.0000  0.0000  0.7881
Tm  0.0000  0.0000  0.2119

Computed properties:
Its formation energy is -282 meV/atom. For the size of the total moment, the calculation gives 0.0 Bohr magnetons per cell. Its calculated volume is 105 Å³/f.u. Its space-group type is P4/mmm (123). The crystal system is tetragonal. Its uncorrected energy is -4.405 eV per atom.

Record 5
This record from Alexandria describes a relaxed structure of TmLu2Ga. The functional is PBE-GGA.

Lattice parameters (Å, degrees): 3.4510 3.4510 8.6941 90.00 90.00 90.00
Sites, in units of the cell vectors:
Tm  0.5000  0.5000  0.5000
Ga  0.5000  0.5000  0.0000
Lu  0.0000  0.0000  0.7889
Lu  0.0000  0.0000  0.2111

Computed properties:
Its formation energy is -288 meV/atom. For the size of the total moment, the calculation gives 0.0 Bohr magnetons per cell. Its calculated volume is 104 Å³/f.u. Its space-group type is P4/mmm (123). The crystal system is tetragonal. Its uncorrected energy is -4.423 eV per atom.

Record 6
This record from Alexandria describes a relaxed structure of TmLuGa2. The functional is PBE-GGA.

Lattice parameters (Å, degrees): 3.5105 3.5105 7.0167 90.00 90.00 90.00
Sites, in units of the cell vectors:
Lu  0.5000  0.5000  0.0000
Tm  0.5000  0.5000  0.5000
Ga  0.0000  0.0000  0.2472
Ga  0.0000  0.0000  0.7528

Computed properties:
Its formation energy is -561 meV/atom. For the size of the total moment, the calculation gives 0.0 Bohr magnetons per cell. Its calculated volume is 86 Å³/f.u. Its space-group type is P4/mmm (123). The crystal system is tetragonal. Its uncorrected energy is -4.322 eV per atom.

Record 7
This record from Alexandria describes a relaxed structure of TmLu2Ga. The functional is PBE-GGA.

Lattice parameters (Å, degrees): 3.4135 3.4135 11.2336 81.26 81.26 60.00
Sites, in units of the cell vectors:
Tm  0.0000  0.0000  0.0000
Lu  0.8989  0.8989  0.3034
Lu  0.1011  0.1011  0.6966
Ga  0.5000  0.5000  0.5000

Computed properties:
Its formation energy is 18 meV/atom. For the size of the total moment, the calculation gives 0.8 Bohr magnetons per cell. Its calculated volume is 112 Å³/f.u. Its space-group type is R-3m (166). The crystal system is trigonal. Its uncorrected energy is -4.117 eV per atom.

Record 8
This record from Alexandria describes a relaxed structure of Tm2LuGa. The functional is PBE-GGA.

Lattice parameters (Å, degrees): 3.4280 3.4280 11.6040 81.51 81.51 60.00
Sites, in units of the cell vectors:
Tm  0.0861  0.0861  0.7416
Tm  0.9139  0.9139  0.2584
Ga  0.0000  0.0000  0.0000
Lu  0.5000  0.5000  0.5000

Computed properties:
Its formation energy is 132 meV/atom. For the size of the total moment, the calculation gives 0.0 Bohr magnetons per cell. Its calculated volume is 116 Å³/f.u. Its space-group type is R-3m (166). The crystal system is trigonal. Its uncorrected energy is -3.991 eV per atom.

Record 9
This record from Alexandria describes a relaxed structure of TmLuGa2. The functional is PBE-GGA.

Lattice parameters (Å, degrees): 4.9689 4.9689 4.9689 60.00 60.00 60.00
Sites, in units of the cell vectors:
Tm  0.5000  0.5000  0.5000
Lu  0.0000  0.0000  0.0000
Ga  0.7500  0.7500  0.7500
Ga  0.2500  0.2500  0.2500

Computed properties:
Its formation energy is -562 meV/atom. For the size of the total moment, the calculation gives 0.0 Bohr magnetons per cell. Its calculated volume is 87 Å³/f.u. Its space-group type is Fm-3m (225). The crystal system is cubic. Its uncorrected energy is -4.323 eV per atom.

Record 10
This record from Alexandria describes a relaxed structure of TmLuGa2. The functional is PBE-GGA.

Lattice parameters (Å, degrees): 3.5550 3.5550 8.8860 78.46 78.46 60.00
Sites, in units of the cell vectors:
Ga  0.2504  0.2504  0.2487
Ga  0.7496  0.7496  0.7513
Lu  0.0000  0.0000  0.0000
Tm  0.5000  0.5000  0.5000

Computed properties:
Its formation energy is -423 meV/atom. For the size of the total moment, the calculation gives 0.0 Bohr magnetons per cell. Its calculated volume is 95 Å³/f.u. Its space-group type is R-3m (166). The crystal system is trigonal. Its uncorrected energy is -4.184 eV per atom.

Record 11
This record from Alexandria describes a relaxed structure of TmLuZnGa. The functional is PBE-GGA.

Lattice parameters (Å, degrees): 4.9588 4.9588 4.9588 60.00 60.00 60.00
Sites, in units of the cell vectors:
Zn  0.2500  0.2500  0.2500
Ga  0.7500  0.7500  0.7500
Lu  0.5000  0.5000  0.5000
Tm  0.0000  0.0000  0.0000

Computed properties:
Its formation energy is -469 meV/atom. For the size of the total moment, the calculation gives 0.0 Bohr magnetons per cell. Its calculated volume is 86 Å³/f.u. Its space-group type is F-43m (216). The crystal system is cubic. Its uncorrected energy is -3.792 eV per atom.

Record 12
This record from Alexandria describes a relaxed structure of Lu2UGa. The functional is PBE-GGA.

Lattice parameters (Å, degrees): 3.1813 3.1813 11.2096 81.84 81.84 60.00
Sites, in units of the cell vectors:
Lu  0.0964  0.0964  0.7108
Lu  0.9036  0.9036  0.2892
Ga  0.5000  0.5000  0.5000
U  0.0000  0.0000  0.0000

Computed properties:
Its formation energy is 205 meV/atom. For the size of the total moment, the calculation gives 1.9 Bohr magnetons per cell. Its calculated volume is 97 Å³/f.u. Its space-group type is R-3m (166). The crystal system is trigonal. Its uncorrected energy is -5.634 eV per atom.

Record 13
This record from Alexandria describes a relaxed structure of LuVGa4. The functional is PBE-GGA.

Lattice parameters (Å, degrees): 5.2215 5.2215 5.2215 60.00 60.00 60.00
Sites, in units of the cell vectors:
Ga  0.6254  0.6254  0.6254
Ga  0.6254  0.6254  0.1237
Ga  0.6254  0.1237  0.6254
Ga  0.1237  0.6254  0.6254
V  0.0000  0.0000  0.0000
Lu  0.2500  0.2500  0.2500

Computed properties:
Its formation energy is -190 meV/atom. For the size of the total moment, the calculation gives 0.0 Bohr magnetons per cell. Its calculated volume is 101 Å³/f.u. Its space-group type is F-43m (216). The crystal system is cubic. Its uncorrected energy is -4.481 eV per atom.

Record 14
This record from Alexandria describes a relaxed structure of LuGa2W. The functional is PBE-GGA.

Lattice parameters (Å, degrees): 3.0146 3.0146 9.5579 80.93 80.93 60.00
Sites, in units of the cell vectors:
Ga  0.7429  0.7429  0.7713
Ga  0.2571  0.2571  0.2287
W  0.0000  0.0000  0.0000
Lu  0.5000  0.5000  0.5000

Computed properties:
Its formation energy is 101 meV/atom. For the size of the total moment, the calculation gives 0.0 Bohr magnetons per cell. Its calculated volume is 74 Å³/f.u. Its space-group type is R-3m (166). The crystal system is trigonal. Its uncorrected energy is -5.781 eV per atom.

Record 15
This record from Alexandria describes a relaxed structure of Y2LuGa. The functional is PBE-GGA.

Lattice parameters (Å, degrees): 3.5056 3.5056 8.9117 90.00 90.00 90.00
Sites, in units of the cell vectors:
Y  0.0000  0.0000  0.2106
Y  0.0000  0.0000  0.7894
Lu  0.5000  0.5000  0.5000
Ga  0.5000  0.5000  0.0000

Computed properties:
Its formation energy is -278 meV/atom. For the size of the total moment, the calculation gives 0.0 Bohr magnetons per cell. Its calculated volume is 110 Å³/f.u. Its space-group type is P4/mmm (123). The crystal system is tetragonal. Its uncorrected energy is -5.397 eV per atom.